HfZrReOs (PBE, optimized geometry); calculated total energy = -44.0 eV/cell; formation energy = -448 meV/atom; V = 70.6 Å³/cell; magnetic moment = 0.0 Bohr magnetons per cell
1.0
3.274 0.000 0.000
0.000 3.274 0.000
0.000 0.000 6.588
Hf Os Re Zr
1 1 1 1
Direct
0.500 0.500 0.106
0.000 0.000 0.860
0.000 0.000 0.354
0.500 0.500 0.607



Hf5OsRh2 (PBE, optimized geometry); calculated total energy = -160.5 eV/cell; formation energy = -570 meV/atom; V = 308.6 Å³/cell; magnetic moment = 0.0 Bohr magnetons per cell
1.0
-4.520 4.472 -2.068
0.527 -2.351 -6.237
-3.060 -5.582 5.429
Rh Hf Os
4 10 2
Direct
0.862 0.638 0.000
0.638 0.138 0.000
0.362 0.862 0.000
0.138 0.362 0.000
0.824 0.983 0.306
0.500 0.500 0.000
0.176 0.017 0.694
0.983 0.483 0.306
0.483 0.324 0.306
0.017 0.517 0.694
0.324 0.824 0.306
0.517 0.676 0.694
0.676 0.176 0.694
0.000 0.000 0.000
0.750 0.750 0.500
0.250 0.250 0.500



Hf2OsRh (PBE, optimized geometry); calculated total energy = -41.7 eV/cell; formation energy = -793 meV/atom; V = 69.5 Å³/cell; magnetic moment = 0.0 Bohr magnetons per cell
1.0
0.000 3.263 3.263
3.263 0.000 3.263
3.263 3.263 0.000
Hf Os Rh
2 1 1
Direct
0.250 0.250 0.250
0.750 0.750 0.750
0.500 0.500 0.500
0.000 0.000 0.000



HfOs2Rh (PBE, optimized geometry); calculated total energy = -77.2 eV/cell; formation energy = 286 meV/atom; V = 138.3 Å³/cell; magnetic moment = 0.0 Bohr magnetons per cell
1.0
3.772 0.000 0.000
0.000 3.772 0.000
1.886 1.886 9.723
Os Hf Rh
4 2 2
Direct
0.875 0.834 0.750
0.584 0.125 0.250
0.166 0.625 0.250
0.375 0.416 0.750
0.750 0.250 0.500
0.000 0.000 0.000
0.250 0.750 0.500
0.500 0.500 0.000



HfOs3Rh (PBE, optimized geometry); calculated total energy = -41.7 eV/cell; formation energy = 1862 meV/atom; V = 99.9 Å³/cell; magnetic moment = 0.0 Bohr magnetons per cell
1.0
4.640 0.000 0.000
0.000 4.640 0.000
0.000 0.000 4.640
Os Hf Rh
3 1 1
Direct
0.500 0.000 0.000
0.000 0.500 0.000
0.000 0.000 0.500
0.500 0.500 0.500
0.000 0.000 0.000



Hf2OsRh (PBE, optimized geometry); calculated total energy = -41.6 eV/cell; formation energy = -789 meV/atom; V = 69.5 Å³/cell; magnetic moment = 0.0 Bohr magnetons per cell
1.0
3.239 0.000 0.000
0.000 3.239 0.000
0.000 0.000 6.621
Hf Rh Os
2 1 1
Direct
0.000 0.000 0.249
0.000 0.000 0.751
0.500 0.500 0.500
0.500 0.500 0.000



HfOs2Rh (PBE, optimized geometry); calculated total energy = -39.3 eV/cell; formation energy = 116 meV/atom; V = 63.7 Å³/cell; magnetic moment = 0.0 Bohr magnetons per cell
1.0
0.000 3.170 3.170
3.170 0.000 3.170
3.170 3.170 0.000
Os Hf Rh
2 1 1
Direct
0.250 0.250 0.250
0.750 0.750 0.750
0.500 0.500 0.500
0.000 0.000 0.000



HfOs3Rh (PBE, optimized geometry); calculated total energy = -38.3 eV/cell; formation energy = 2531 meV/atom; V = 104.6 Å³/cell; magnetic moment = 0.0 Bohr magnetons per cell
1.0
-0.796 1.729 4.311
-4.425 1.047 -1.237
-1.411 -4.257 1.447
Os Hf Rh
3 1 1
Direct
0.500 0.000 0.000
0.000 0.500 0.000
0.000 0.000 0.500
0.000 0.000 0.000
0.500 0.500 0.500



Hf5Os4Rh (PBE, optimized geometry); calculated total energy = -109.4 eV/cell; formation energy = -731 meV/atom; V = 172.8 Å³/cell; magnetic moment = 0.0 Bohr magnetons per cell
1.0
3.259 0.000 0.000
0.000 3.259 0.000
0.000 0.000 16.270
Hf Os Rh
5 4 1
Direct
0.500 0.500 0.300
0.500 0.500 0.700
0.500 0.500 0.500
0.500 0.500 0.900
0.500 0.500 0.100
0.000 0.000 0.400
0.000 0.000 0.801
0.000 0.000 0.600
0.000 0.000 0.199
0.000 0.000 0.000



Hf3OsRh2 (PBE, optimized geometry); calculated total energy = -60.7 eV/cell; formation energy = -811 meV/atom; V = 104.3 Å³/cell; magnetic moment = 0.0 Bohr magnetons per cell
1.0
-2.812 0.832 1.411
-1.626 -1.770 -2.195
0.624 -7.875 5.887
Rh Hf Os
2 3 1
Direct
0.500 0.500 0.834
0.500 0.500 0.166
0.000 0.000 0.000
0.000 0.000 0.666
0.000 0.000 0.334
0.500 0.500 0.500



Hf6Os5Rh (PBE, optimized geometry); calculated total energy = -131.9 eV/cell; formation energy = -726 meV/atom; V = 207.2 Å³/cell; magnetic moment = 0.0 Bohr magnetons per cell
1.0
4.429 -0.005 -1.242
-3.315 6.444 -3.320
-0.172 -0.915 7.916
Os Rh Hf
5 1 6
Direct
0.500 0.166 0.834
0.000 0.666 0.334
0.500 0.500 0.500
0.000 0.334 0.666
0.500 0.834 0.166
0.000 0.000 0.000
0.248 0.748 0.748
0.251 0.084 0.418
0.251 0.418 0.084
0.752 0.252 0.252
0.749 0.916 0.582
0.749 0.582 0.916



Hf2OsRh (PBE, optimized geometry); calculated total energy = -77.9 eV/cell; formation energy = -110 meV/atom; V = 149.9 Å³/cell; magnetic moment = 0.0 Bohr magnetons per cell
1.0
-1.855 -6.543 2.027
3.942 0.698 5.860
-1.306 -1.808 5.391
Rh Hf Os
2 4 2
Direct
0.250 0.750 0.500
0.500 0.500 0.000
0.375 0.377 0.750
0.127 0.625 0.250
0.623 0.125 0.250
0.875 0.873 0.750
0.750 0.250 0.500
0.000 0.000 0.000